1.
10
Lattice="5.1425 0.0000 0.0000 0.0000 4.2559 0.0000 -2.2330 0.0000 6.8251" Properties=species:S:1:pos:R:3 comment="Ti3CoRh | the Alexandria database | PBE-GGA | optimized geometry" sg="P2_1/m, No. 11" e_above_lowest_polymorph_ev_per_atom=0.000 pbc="T T T"
Ti -0.3683 1.0640 1.7223
Ti -0.6427 1.0640 6.6009
Ti 0.6571 3.1920 3.9485
Ti 2.2523 1.0640 2.8766
Ti 3.5521 3.1920 0.2242
Ti 3.2778 3.1920 5.1028
Co -0.6546 1.0640 4.1213
Co 3.5640 3.1920 2.7039
Rh 1.1871 3.1920 1.2782
Rh 1.7223 1.0640 5.5469

2.
10
Lattice="6.0052 -2.2464 0.0000 6.0052 2.2464 0.0000 -5.8223 0.0000 9.6615" Properties=species:S:1:pos:R:3 comment="Ac2Ge2Ru | the Alexandria database | PBE-GGA | optimized geometry" sg="C2/m, No. 12" e_above_lowest_polymorph_ev_per_atom=0.000 pbc="T T T"
Ac -0.9597 0.0000 1.6306
Ac -1.3111 0.0000 5.8264
Ac 7.4992 0.0000 3.8351
Ac 7.1478 0.0000 8.0310
Ge -1.4526 0.0000 8.9550
Ge 3.8218 0.0000 3.5083
Ge 2.3663 0.0000 6.1532
Ge 7.6406 0.0000 0.7066
Ru 2.6702 0.0000 1.1427
Ru 3.5179 0.0000 8.5189

3.
4
Lattice="0.0000 3.5394 3.5394 3.5394 0.0000 3.5394 3.5394 3.5394 0.0000" Properties=species:S:1:pos:R:3 comment="YZr2As | the Alexandria database | PBE-GGA | optimized geometry" dft_energy_ev_per_atom=-7.182 sg="F-43m, No. 216" pbc="T T T"
Y 0.0000 0.0000 0.0000
Zr 1.7697 1.7697 1.7697
Zr 3.5394 3.5394 3.5394
As 5.3090 5.3090 5.3090

4.
7
Lattice="8.4564 -1.7957 0.0000 8.4564 1.7957 0.0000 -3.9965 0.0000 7.7557" Properties=species:S:1:pos:R:3 comment="Tb2Pr4Cd | the Alexandria database | PBE-GGA | optimized geometry" sg="C2/m, No. 12" e_above_lowest_polymorph_ev_per_atom=0.037 pbc="T T T"
Tb 3.1179 0.0000 1.0713
Tb 9.7984 0.0000 6.6844
Pr -1.4082 0.0000 5.4608
Pr 3.7964 0.0000 4.7523
Pr 9.1199 0.0000 3.0034
Pr 14.3245 0.0000 2.2948
Cd 0.0000 0.0000 0.0000

5.
12
Lattice="3.9035 -6.7347 0.0000 3.9035 6.7347 0.0000 -2.5875 0.0000 7.3477" Properties=species:S:1:pos:R:3 comment="Th6HgSb5 | the Alexandria database | PBE-GGA | optimized geometry" formation_energy_uncorrected_ev_per_fu=-9.22 sg="C2/m, No. 12" pbc="T T T"
Th -0.0059 2.2205 5.4815
Th 1.2732 0.0000 1.8405
Th -0.0059 -2.2205 5.4815
Th 5.2255 2.2205 1.8662
Th 3.9464 0.0000 5.5072
Th 5.2255 -2.2205 1.8662
Hg -1.2937 0.0000 3.6739
Sb 3.9035 4.4466 0.0000
Sb 2.6098 2.2308 3.6739
Sb 3.9035 0.0000 0.0000
Sb 2.6098 -2.2308 3.6739
Sb 3.9035 -4.4466 0.0000

6.
7
Lattice="3.3995 -5.8691 0.0000 3.3995 5.8691 0.0000 -2.3235 0.0000 6.0242" Properties=species:S:1:pos:R:3 comment="La2Pm4Mg | the Alexandria database | PBE-GGA | optimized geometry" sg="C2/m, No. 12" e_above_lowest_polymorph_ev_per_atom=0.017 pbc="T T T"
La 0.6533 0.0000 1.9568
La 3.8222 0.0000 4.0674
Pm 1.4088 3.4219 1.5504
Pm 3.0667 3.4219 4.4738
Pm 1.4088 -3.4219 1.5504
Pm 3.0667 -3.4219 4.4738
Mg 3.3995 0.0000 0.0000

7.
4
Lattice="3.5627 0.0000 0.0000 0.0000 3.5627 0.0000 0.0000 0.0000 9.1391" Properties=species:S:1:pos:R:3 comment="LaPmSn2 | the Alexandria database | PBE-GGA | optimized geometry" dft_energy_ev_per_atom=-5.126 sg="P4/mmm, No. 123" pbc="T T T"
La 0.0000 0.0000 0.0000
Pm 0.0000 0.0000 4.5695
Sn 1.7814 1.7814 2.3356
Sn 1.7814 1.7814 6.8034

8.
4
Lattice="5.4958 -1.8500 0.0000 5.4958 1.8500 0.0000 -2.1893 0.0000 4.4026" Properties=species:S:1:pos:R:3 comment="Ca2BeCu | the Alexandria database | PBE-GGA | optimized geometry" dft_energy_ev_per_atom=-2.817 sg="Cm, No. 8" pbc="T T T"
Ca 0.0000 0.0000 0.0000
Ca 0.7270 0.0000 3.1113
Be 8.0882 0.0000 1.2945
Cu 3.6191 0.0000 1.8089

| no. | N(E_F) (states/eV per cell) |
| --- | --- |
| 1 | 8.67 |
| 2 | 6.58 |
| 3 | 3.63 |
| 4 | 9.22 |
| 5 | 8.40 |
| 6 | 9.25 |
| 7 | 3.77 |
| 8 | 2.49 |